Record 1
VCr2W | PBE | optimized geometry

E_form	-62	meV per atom
E above lowest polymorph	0	meV per atom
symmetry	Fm-3m

a = 5.951 Å, b = 5.951 Å, c = 5.951 Å
α = 90.00°, β = 90.00°, γ = 90.00°
Positions (direct):
V  0.000  0.000  0.000
V  0.000  0.500  0.500
V  0.500  0.000  0.500
V  0.500  0.500  0.000
Cr  0.250  0.250  0.250
Cr  0.250  0.250  0.750
Cr  0.250  0.750  0.250
Cr  0.250  0.750  0.750
Cr  0.750  0.250  0.250
Cr  0.750  0.250  0.750
Cr  0.750  0.750  0.250
Cr  0.750  0.750  0.750
W  0.000  0.000  0.500
W  0.000  0.500  0.000
W  0.500  0.000  0.000
W  0.500  0.500  0.500

Record 2
Tb4PmEr2Sc | PBE | optimized geometry

E_form	30	meV per atom
symmetry	C2/m

a = 7.037 Å, b = 7.037 Å, c = 12.183 Å
α = 106.78°, β = 106.78°, γ = 60.15°
Positions (direct):
Tb  0.248  0.248  0.745
Tb  0.248  0.751  0.748
Tb  0.249  0.752  0.252
Tb  0.250  0.250  0.250
Tb  0.750  0.750  0.750
Tb  0.751  0.248  0.748
Tb  0.752  0.249  0.252
Tb  0.752  0.752  0.255
Pm  0.000  0.500  0.000
Pm  0.500  0.000  0.000
Er  0.000  0.500  0.500
Er  0.500  0.000  0.500
Er  0.500  0.500  0.000
Er  0.500  0.500  0.500
Sc  0.000  0.000  0.000
Sc  0.000  0.000  0.500

Record 3
NaTcGe2 | PBE | optimized geometry

E_form	-44	meV per atom
E above lowest polymorph	47	meV per atom
symmetry	R3m

a = 3.111 Å, b = 3.111 Å, c = 26.272 Å
α = 90.00°, β = 90.00°, γ = 120.00°
Positions (direct):
Na  0.000  0.000  0.000
Na  0.333  0.667  0.667
Na  0.667  0.333  0.333
Tc  0.000  0.000  0.834
Tc  0.333  0.667  0.501
Tc  0.667  0.333  0.167
Ge  0.000  0.000  0.238
Ge  0.000  0.000  0.430
Ge  0.333  0.667  0.097
Ge  0.333  0.667  0.904
Ge  0.667  0.333  0.571
Ge  0.667  0.333  0.763

Record 4
CaCdSi2Br | PBE | optimized geometry

formation energy (no corrections)	0.66	eV per atom
symmetry	P4/mmm

a = 5.114 Å, b = 5.114 Å, c = 5.536 Å
α = 90.00°, β = 90.00°, γ = 90.00°
Positions (direct):
Ca  0.000  0.000  0.000
Cd  0.500  0.500  0.000
Si  0.000  0.500  0.500
Si  0.500  0.000  0.500
Br  0.500  0.500  0.500

Record 5
Er5In4Rh | PBE | optimized geometry

E_form	-560	meV per atom
symmetry	P4/mmm

a = 3.460 Å, b = 3.460 Å, c = 20.557 Å
α = 90.00°, β = 90.00°, γ = 90.00°
Positions (direct):
Er  0.000  0.000  0.000
Er  0.000  0.000  0.209
Er  0.000  0.000  0.420
Er  0.000  0.000  0.580
Er  0.000  0.000  0.791
In  0.500  0.500  0.104
In  0.500  0.500  0.312
In  0.500  0.500  0.688
In  0.500  0.500  0.896
Rh  0.500  0.500  0.500

Record 6
Ag3GeN | PBE | optimized geometry

E above lowest polymorph	0	meV per atom
formation energy (no corrections)	0.74	eV per atom
symmetry	Pm-3m

a = 4.438 Å, b = 4.438 Å, c = 4.438 Å
α = 90.00°, β = 90.00°, γ = 90.00°
Positions (direct):
Ag  0.000  0.000  0.500
Ag  0.000  0.500  0.000
Ag  0.500  0.000  0.000
Ge  0.500  0.500  0.500
N  0.000  0.000  0.000

Record 7
CaIrPb2O6 | PBE | optimized geometry

formation energy (no corrections)	-1.37	eV per atom
symmetry	P2_1/c

a = 5.780 Å, b = 5.924 Å, c = 10.065 Å
α = 90.00°, β = 124.80°, γ = 90.00°
Positions (direct):
Ca  0.000  0.000  0.000
Ca  0.000  0.500  0.500
Ir  0.500  0.000  0.500
Ir  0.500  0.500  0.000
Pb  0.237  0.042  0.747
Pb  0.237  0.458  0.247
Pb  0.763  0.542  0.753
Pb  0.763  0.958  0.253
O  0.174  0.181  0.450
O  0.174  0.319  0.950
O  0.270  0.725  0.443
O  0.270  0.775  0.943
O  0.377  0.042  0.274
O  0.377  0.458  0.774
O  0.623  0.542  0.226
O  0.623  0.958  0.726
O  0.730  0.225  0.057
O  0.730  0.275  0.557
O  0.826  0.681  0.050
O  0.826  0.819  0.550

Record 8
La3MgB2N6 | PBE | optimized geometry

formation energy (no corrections)	-1.08	eV per atom
symmetry	P-3m1

a = 5.525 Å, b = 5.525 Å, c = 6.281 Å
α = 90.00°, β = 90.00°, γ = 120.00°
Positions (direct):
La  0.000  0.000  0.000
La  0.333  0.667  0.664
La  0.667  0.333  0.336
Mg  0.000  0.000  0.500
B  0.333  0.667  0.256
B  0.667  0.333  0.744
N  0.182  0.364  0.285
N  0.182  0.818  0.285
N  0.364  0.182  0.715
N  0.636  0.818  0.285
N  0.818  0.182  0.715
N  0.818  0.636  0.715

Record 9
AlZn2Cd2Ag5 | PBE | optimized geometry

E_form	33	meV per atom
symmetry	P4/mbm

a = 9.444 Å, b = 9.444 Å, c = 4.121 Å
α = 90.00°, β = 90.00°, γ = 90.00°
Positions (direct):
Al  0.000  0.000  0.000
Al  0.500  0.500  0.000
Zn  0.123  0.377  0.000
Zn  0.377  0.877  0.000
Zn  0.623  0.123  0.000
Zn  0.877  0.623  0.000
Cd  0.173  0.673  0.000
Cd  0.327  0.173  0.000
Cd  0.673  0.827  0.000
Cd  0.827  0.327  0.000
Ag  0.000  0.500  0.500
Ag  0.082  0.195  0.500
Ag  0.195  0.918  0.500
Ag  0.305  0.418  0.500
Ag  0.418  0.695  0.500
Ag  0.500  0.000  0.500
Ag  0.582  0.305  0.500
Ag  0.695  0.582  0.500
Ag  0.805  0.082  0.500
Ag  0.918  0.805  0.500

Record 10
Li2PrCd2Au2 | PBE | optimized geometry

E_form	-387	meV per atom
symmetry	R-3m

a = 8.471 Å, b = 8.471 Å, c = 8.471 Å
α = 32.87°, β = 32.87°, γ = 32.87°
Positions (direct):
Li  0.133  0.133  0.133
Li  0.867  0.867  0.867
Pr  0.000  0.000  0.000
Cd  0.252  0.252  0.252
Cd  0.748  0.748  0.748
Au  0.408  0.408  0.408
Au  0.592  0.592  0.592

E (eV per atom)
-10.392 -4.812 -5.274 -2.429 -4.672 -3.561 -6.176 -7.723 -2.205 -2.814